*a*
Computed, not measured: a crystal of YScSi2 relaxed with PBEsol at the meta-GGA SCAN level of DFT.

Computed properties:
D(E_F): 0.510 states/eV per atom

Cell: 3.7216 4.0997 10.1661 Å, 90.00 90.00 90.00°
Last column: nearest neighbours and their distance in Å.
Space group Amm2 (No. 38)
Inequivalent atoms, fractional coordinates:
1 Y 0.0000 0.0000 0.0000 x2  7 Si 2.84-3.04
2 Sc 0.5000 0.0000 0.2797 x2  7 Si 2.83-3.00
3 Si 0.0000 0.0000 0.7209 x2  2 Si 2.45
4 Si 0.5000 0.0000 0.5648 x2  2 Si 2.45



*b*
Computed, not measured: a crystal of YScSi2 relaxed with PBEsol at the meta-GGA SCAN level of DFT.

Computed properties:
D(E_F): 0.975 states/eV per atom

Cell: 6.7810 6.7810 6.7810 Å, 90.00 90.00 90.00°
Last column: nearest neighbours and their distance in Å.
Space group Fm-3m (No. 225)
Inequivalent atoms, fractional coordinates:
1 Y 0.0000 0.0000 0.0000 x4  8 Si 2.94
2 Sc 0.0000 0.0000 0.5000 x4  8 Si 2.94
3 Si 0.2500 0.2500 0.2500 x8  4 Sc 2.94, 4 Y 2.94



Winner for stability: *a*



*a*
Computed, not measured: a crystal of Sr3Sc relaxed with PBEsol at the meta-GGA SCAN level of DFT.

Computed properties:
D(E_F): 0.984 states/eV per atom

Cell: 4.1871 6.2722 12.5486 Å, 90.00 90.00 90.00°
Last column: nearest neighbours and their distance in Å.
Space group Immm (No. 71)
Inequivalent atoms, fractional coordinates:
1 Sr 0.0000 0.0000 0.0000 x2  4 Sc 3.77, 6 Sr 4.00-4.19
2 Sr 0.0000 0.5000 0.2285 x4  2 Sc 3.55, 4 Sr 3.81
3 Sc 0.0000 0.0000 0.5000 x2  8 Sr 3.55-3.77



*b*
Computed, not measured: a crystal of Sr3Sc relaxed with PBEsol at the meta-GGA SCAN level of DFT.

Computed properties:
D(E_F): 1.107 states/eV per atom

Cell: 3.7726 6.0141 7.3548 Å, 90.00 101.63 90.00°
Last column: nearest neighbours and their distance in Å.
Space group P2/m (No. 10)
Inequivalent atoms, fractional coordinates:
1 Sr 0.0000 0.0000 0.0000 x1  6 Sr 3.77-3.83, 2 Sc 3.78
2 Sr 0.2683 0.5000 0.7336 x2  6 Sr 3.62-3.96, 2 Sc 3.66
3 Sc 0.5000 0.0000 0.5000 x1  6 Sr 3.66-3.78, 2 Sc 3.77



Winner for stability: *a*



*a*
Computed, not measured: a crystal of SrSc2Tl relaxed with PBEsol at the meta-GGA SCAN level of DFT.

Computed properties:
D(E_F): 1.149 states/eV per atom

Cell: 3.8988 5.0666 10.9752 Å, 90.00 90.00 90.00°
Last column: nearest neighbours and their distance in Å.
Space group Imm2 (No. 44)
Inequivalent atoms, fractional coordinates:
1 Sr 0.0000 0.0000 0.0000 x2  6 Sc 3.25-3.50, 2 Tl 3.31
2 Sc 0.0000 0.0000 0.4473 x2  2 Tl 2.96, 4 Sr 3.25
3 Sc 0.0000 0.5000 0.2199 x2  4 Tl 3.21, 2 Sr 3.50, 4 Sc 3.56-3.57
4 Tl 0.0000 0.5000 0.7441 x2  6 Sc 2.96-3.21, 2 Sr 3.31



*b*
Computed, not measured: a crystal of SrSc2Tl relaxed with PBEsol at the meta-GGA SCAN level of DFT.

Computed properties:
D(E_F): 1.003 states/eV per atom

Cell: 3.5221 5.0382 6.5093 Å, 90.00 103.83 90.00°
Last column: nearest neighbours and their distance in Å.
Space group P2/m (No. 10)
Inequivalent atoms, fractional coordinates:
1 Sr 0.0000 0.0000 0.0000 x1  2 Tl 3.31, 8 Sc 3.52-3.67, 2 Sr 3.52
2 Sc 0.3272 0.5000 0.7061 x2  2 Tl 2.98, 2 Sc 3.09-3.20
3 Tl 0.5000 0.0000 0.5000 x1  4 Sc 2.98, 2 Sr 3.31



Winner for stability: *a*



*a*
Computed, not measured: a crystal of SrScZn3 relaxed with PBEsol at the meta-GGA SCAN level of DFT.

Computed properties:
D(E_F): 0.874 states/eV per atom

Cell: 5.2254 5.2254 5.2254 Å, 90.00 90.00 90.00°
Last column: nearest neighbours and their distance in Å.
Space group Pm-3m (No. 221)
Inequivalent atoms, fractional coordinates:
1 Sr 0.0000 0.0000 0.0000 x1  6 Zn 2.61
2 Sc 0.5000 0.5000 0.5000 x1  12 Zn 3.69
3 Zn 0.0000 0.0000 0.5000 x3  2 Sr 2.61



*b*
Computed, not measured: a crystal of SrScZn3 relaxed with PBEsol at the meta-GGA SCAN level of DFT.

Computed properties:
D(E_F): 0.961 states/eV per atom

Cell: 5.1167 5.1167 5.1167 Å, 90.00 90.00 90.00°
Last column: nearest neighbours and their distance in Å.
Space group Pm-3m (No. 221)
Inequivalent atoms, fractional coordinates:
1 Sr 0.0000 0.0000 0.0000 x1  12 Zn 3.62
2 Sc 0.5000 0.5000 0.5000 x1  6 Zn 2.56
3 Zn 0.0000 0.5000 0.5000 x3  2 Sc 2.56



Winner for stability: *b*



*a*
Computed, not measured: a crystal of SrZr2Sc relaxed with PBEsol at the meta-GGA SCAN level of DFT.

Computed properties:
D(E_F): 1.304 states/eV per atom

Cell: 3.1899 5.1408 6.8254 Å, 90.00 101.79 90.00°
Last column: nearest neighbours and their distance in Å.
Space group P2/m (No. 10)
Inequivalent atoms, fractional coordinates:
1 Sr 0.0000 0.0000 0.0000 x1  2 Sr 3.19, 2 Sc 3.46
2 Zr 0.2833 0.5000 0.6874 x2  2 Zr 2.81-3.15, 2 Sc 3.01
3 Sc 0.5000 0.0000 0.5000 x1  4 Zr 3.01, 2 Sc 3.19



*b*
Computed, not measured: a crystal of SrZr2Sc relaxed with PBEsol at the meta-GGA SCAN level of DFT.

Computed properties:
D(E_F): 1.685 states/eV per atom

Cell: 4.6366 4.6446 9.9456 Å, 90.00 90.00 90.00°
Last column: nearest neighbours and their distance in Å.
Space group Cmm2 (No. 35)
Inequivalent atoms, fractional coordinates:
1 Sr 0.0000 0.0000 0.0000 x2  4 Sr 3.28
2 Zr 0.0000 0.0000 0.5062 x2  8 Zr 3.09-3.28, 4 Sc 3.11
3 Zr 0.0000 0.5000 0.7118 x2  8 Zr 3.09-3.28
4 Sc 0.0000 0.5000 0.2978 x2  4 Zr 3.11, 4 Sc 3.28



Winner for stability: *b*



*a*
Computed, not measured: a crystal of ScTa relaxed with PBEsol at the meta-GGA SCAN level of DFT.

Computed properties:
D(E_F): 0.888 states/eV per atom

Cell: 3.0116 3.0116 10.0314 Å, 90.00 90.00 120.00°
Last column: nearest neighbours and their distance in Å.
Space group P6_3/mmc (No. 194)
Inequivalent atoms, fractional coordinates:
1 Sc 0.0000 0.0000 0.0000 x2  6 Sc 3.01, 6 Ta 3.05
2 Ta 0.3333 0.6667 0.2500 x2  6 Ta 3.01, 6 Sc 3.05



*b*
Computed, not measured: a crystal of ScTa relaxed with PBEsol at the meta-GGA SCAN level of DFT.

Computed properties:
D(E_F): 0.951 states/eV per atom

Cell: 11.4519 2.9241 7.2073 Å, 90.00 102.63 90.00°
Last column: nearest neighbours and their distance in Å.
Space group Cm (No. 8)
Inequivalent atoms, fractional coordinates:
1 Sc 0.0000 0.0000 0.0000 x2  5 Sc 2.84-3.13, 5 Ta 2.86-3.13
2 Sc 0.0659 0.0000 0.6423 x2  5 Sc 2.84-3.11, 7 Ta 3.01-3.17
3 Sc 0.1720 0.5000 0.3361 x2  6 Ta 2.91-3.12, 6 Sc 2.92-3.13
4 Ta 0.2475 0.5000 0.9765 x2  4 Sc 2.86-3.17, 6 Ta 2.92-3.03
5 Ta 0.3312 0.0000 0.6612 x2  5 Ta 2.81-3.03, 7 Sc 3.01-3.13
6 Ta 0.3962 0.0000 0.3066 x2  5 Ta 2.81-2.99, 7 Sc 3.00-3.12



*c*
Computed, not measured: a crystal of ScTa relaxed with PBEsol at the meta-GGA SCAN level of DFT.

Computed properties:
D(E_F): 1.073 states/eV per atom

Cell: 3.5610 4.9004 9.1109 Å, 90.00 90.00 90.00°
Last column: nearest neighbours and their distance in Å.
Space group Imma (No. 74)
Inequivalent atoms, fractional coordinates:
1 Sc 0.0000 0.2500 0.1150 x4  8 Ta 2.97-3.28, 4 Sc 3.04-3.22
2 Ta 0.0000 0.2500 0.6455 x4  2 Ta 2.61



Winner for stability: *b*



*a*
Computed, not measured: a crystal of ScTa relaxed with PBEsol at the meta-GGA SCAN level of DFT.

Computed properties:
D(E_F): 1.052 states/eV per atom

Cell: 3.3999 3.3999 7.1587 Å, 90.00 90.00 90.00°
Last column: nearest neighbours and their distance in Å.
Space group P4/nmm (No. 129, origin choice 2)
Inequivalent atoms, fractional coordinates:
1 Sc 0.2500 0.2500 0.1622 x2  5 Ta 2.98-3.08
2 Ta 0.2500 0.2500 0.5919 x2  4 Ta 2.74, 4 Sc 2.98



*b*
Computed, not measured: a crystal of ScTa relaxed with PBEsol at the meta-GGA SCAN level of DFT.

Computed properties:
D(E_F): 0.706 states/eV per atom

Cell: 2.9712 4.8543 5.4712 Å, 90.00 90.00 90.00°
Last column: nearest neighbours and their distance in Å.
Space group Pmmn (No. 59, origin choice 2)
Inequivalent atoms, fractional coordinates:
1 Sc 0.2500 0.2500 0.1033 x2  6 Sc 2.97-3.06, 6 Ta 2.99-3.23
2 Ta 0.2500 0.7500 0.4218 x2  6 Ta 2.97, 6 Sc 2.99-3.23



*c*
Computed, not measured: a crystal of ScTa relaxed with PBEsol at the meta-GGA SCAN level of DFT.

Computed properties:
D(E_F): 1.572 states/eV per atom

Cell: 4.7361 4.7361 4.9204 Å, 90.00 90.00 120.00°
Last column: nearest neighbours and their distance in Å.
Space group P6_3/mmc (No. 194)
Inequivalent atoms, fractional coordinates:
1 Sc 0.3333 0.6667 0.2500 x2  6 Ta 3.00
2 Ta 0.0000 0.0000 0.0000 x2  2 Ta 2.46



Winner for stability: *a*



*a*
Computed, not measured: a crystal of Sc2Ta relaxed with PBEsol at the meta-GGA SCAN level of DFT.

Computed properties:
D(E_F): 1.475 states/eV per atom

Cell: 4.5656 12.8417 4.2081 Å, 90.00 90.00 90.00°
Last column: nearest neighbours and their distance in Å.
Space group Cmcm (No. 63)
Inequivalent atoms, fractional coordinates:
1 Sc 0.0000 0.0801 0.2500 x4  6 Sc 2.94-3.15, 6 Ta 3.03-3.11
2 Sc 0.0000 0.2507 0.7500 x4  8 Sc 3.04-3.15, 4 Ta 3.08-3.21
3 Ta 0.0000 0.4254 0.2500 x4  2 Ta 2.85, 8 Sc 3.03-3.11



*b*
Computed, not measured: a crystal of Sc2Ta relaxed with PBEsol at the meta-GGA SCAN level of DFT.

Computed properties:
D(E_F): 0.926 states/eV per atom

Cell: 5.0025 5.0025 2.9412 Å, 90.00 90.00 90.00°
Last column: nearest neighbours and their distance in Å.
Space group P4/mmm (No. 123)
Inequivalent atoms, fractional coordinates:
1 Sc 0.0000 0.5000 0.0000 x2  4 Ta 2.90, 2 Sc 2.94
2 Ta 0.0000 0.0000 0.5000 x1  8 Sc 2.90, 2 Ta 2.94



*c*
Computed, not measured: a crystal of Sc2Ta relaxed with PBEsol at the meta-GGA SCAN level of DFT.

Computed properties:
D(E_F): 1.989 states/eV per atom

Cell: 7.8239 7.8239 7.8239 Å, 90.00 90.00 90.00°
Last column: nearest neighbours and their distance in Å.
Space group Fd-3m (No. 227, origin choice 2)
Inequivalent atoms, fractional coordinates:
1 Sc 0.0000 0.0000 0.0000 x16  6 Sc 2.77
2 Ta 0.1250 0.1250 0.6250 x8  12 Sc 3.24, 4 Ta 3.39



Winner for stability: *a*



*a*
Computed, not measured: a crystal of ScTa3 relaxed with PBEsol at the meta-GGA SCAN level of DFT.

Computed properties:
D(E_F): 1.224 states/eV per atom

Cell: 4.2112 4.2112 4.2112 Å, 90.00 90.00 90.00°
Last column: nearest neighbours and their distance in Å.
Space group Pm-3m (No. 221)
Inequivalent atoms, fractional coordinates:
1 Sc 0.0000 0.0000 0.0000 x1  12 Ta 2.98
2 Ta 0.0000 0.5000 0.5000 x3  8 Ta 2.98, 4 Sc 2.98



*b*
Computed, not measured: a crystal of ScTa3 relaxed with PBEsol at the meta-GGA SCAN level of DFT.

Computed properties:
D(E_F): 1.226 states/eV per atom

Cell: 9.5001 9.5001 2.8044 Å, 90.00 90.00 120.00°
Last column: nearest neighbours and their distance in Å.
Space group R-3m (No. 166, hexagonal axes)
Inequivalent atoms, fractional coordinates:
1 Sc 0.0000 0.0000 0.0000 x3  2 Sc 2.80, 6 Ta 2.90
2 Ta 0.0000 0.5000 0.0000 x9  6 Ta 2.80-2.90, 2 Sc 2.90



Winner for stability: *b*



*a*
Computed, not measured: a crystal of ScTa3 relaxed with PBEsol at the meta-GGA SCAN level of DFT.

Computed properties:
D(E_F): 1.281 states/eV per atom

Cell: 3.3238 3.3238 6.8551 Å, 90.00 90.00 90.00°
Last column: nearest neighbours and their distance in Å.
Space group P4/mmm (No. 123)
Inequivalent atoms, fractional coordinates:
1 Sc 0.0000 0.0000 0.0000 x1  8 Ta 3.04, 4 Sc 3.32
2 Ta 0.0000 0.0000 0.5000 x1  8 Ta 2.79
3 Ta 0.5000 0.5000 0.2820 x2  5 Ta 2.79-2.99, 4 Sc 3.04



*b*
Computed, not measured: a crystal of ScTa3 relaxed with PBEsol at the meta-GGA SCAN level of DFT.

Computed properties:
D(E_F): 1.178 states/eV per atom

Cell: 3.3102 4.6904 9.5499 Å, 90.00 90.00 90.00°
Last column: nearest neighbours and their distance in Å.
Space group Cmmm (No. 65)
Inequivalent atoms, fractional coordinates:
1 Sc 0.0000 0.0000 0.0000 x2  4 Sc 2.87, 4 Ta 3.02
2 Ta 0.0000 0.0000 0.5000 x2  8 Ta 2.80-2.87
3 Ta 0.0000 0.5000 0.2641 x4  6 Ta 2.80-2.87, 2 Sc 3.02



Winner for stability: *b*



*a*
Computed, not measured: a crystal of ScTaTc2 relaxed with PBEsol at the meta-GGA SCAN level of DFT.

Computed properties:
D(E_F): 0.449 states/eV per atom

Cell: 3.1455 4.4000 9.2369 Å, 90.00 90.00 90.00°
Last column: nearest neighbours and their distance in Å.
Space group Imm2 (No. 44)
Inequivalent atoms, fractional coordinates:
1 Sc 0.0000 0.0000 0.0000 x2  6 Tc 2.71-2.85, 2 Ta 2.93
2 Ta 0.0000 0.5000 0.7675 x2  6 Tc 2.71-2.73, 2 Sc 2.93
3 Tc 0.0000 0.0000 0.5093 x2  2 Tc 2.67, 4 Sc 2.71, 2 Ta 2.73
4 Tc 0.0000 0.5000 0.2431 x2  2 Tc 2.67, 4 Ta 2.71, 2 Sc 2.85



*b*
Computed, not measured: a crystal of ScTaTc2 relaxed with PBEsol at the meta-GGA SCAN level of DFT.

Computed properties:
D(E_F): 0.873 states/eV per atom

Cell: 3.1659 3.1659 6.3940 Å, 90.00 90.00 90.00°
Last column: nearest neighbours and their distance in Å.
Space group P4/mmm (No. 123)
Inequivalent atoms, fractional coordinates:
1 Sc 0.0000 0.0000 0.0000 x1  8 Tc 2.80
2 Ta 0.0000 0.0000 0.5000 x1  8 Tc 2.70
3 Tc 0.5000 0.5000 0.2631 x2  4 Ta 2.70, 4 Sc 2.80



Winner for stability: *b*



*a*
Computed, not measured: a crystal of ScTaTc2 relaxed with PBEsol at the meta-GGA SCAN level of DFT.

Computed properties:
D(E_F): 0.735 states/eV per atom

Cell: 6.3138 6.3138 6.3138 Å, 90.00 90.00 90.00°
Last column: nearest neighbours and their distance in Å.
Space group F-43m (No. 216)
Inequivalent atoms, fractional coordinates:
1 Sc 0.0000 0.0000 0.0000 x4  4 Tc 2.73, 4 Ta 2.73
2 Ta 0.2500 0.2500 0.7500 x4  4 Tc 2.73, 4 Sc 2.73
3 Tc 0.0000 0.0000 0.5000 x4  4 Ta 2.73, 4 Tc 2.73
4 Tc 0.2500 0.2500 0.2500 x4  4 Tc 2.73, 4 Sc 2.73



*b*
Computed, not measured: a crystal of ScTaTc2 relaxed with PBEsol at the meta-GGA SCAN level of DFT.

Computed properties:
D(E_F): 0.985 states/eV per atom

Cell: 6.3266 6.3266 6.3266 Å, 90.00 90.00 90.00°
Last column: nearest neighbours and their distance in Å.
Space group Fm-3m (No. 225)
Inequivalent atoms, fractional coordinates:
1 Sc 0.0000 0.0000 0.0000 x4  8 Tc 2.74
2 Ta 0.0000 0.0000 0.5000 x4  8 Tc 2.74
3 Tc 0.2500 0.2500 0.2500 x8  4 Ta 2.74, 4 Sc 2.74



Winner for stability: *b*



*a*
Computed, not measured: a crystal of ScTa2Tl relaxed with PBEsol at the meta-GGA SCAN level of DFT.

Computed properties:
D(E_F): 0.997 states/eV per atom

Cell: 2.9078 2.9078 9.3010 Å, 90.00 90.00 90.00°
Last column: nearest neighbours and their distance in Å.
Space group P4/mmm (No. 123)
Inequivalent atoms, fractional coordinates:
1 Sc 0.0000 0.0000 0.0000 x1  4 Sc 2.91, 8 Ta 3.13
2 Ta 0.5000 0.5000 0.2534 x2  4 Ta 2.91, 4 Tl 3.08, 4 Sc 3.13
3 Tl 0.0000 0.0000 0.5000 x1  4 Tl 2.91, 8 Ta 3.08



*b*
Computed, not measured: a crystal of ScTa2Tl relaxed with PBEsol at the meta-GGA SCAN level of DFT.

Computed properties:
D(E_F): 0.738 states/eV per atom

Cell: 3.7997 4.2750 4.7043 Å, 90.00 90.00 90.00°
Last column: nearest neighbours and their distance in Å.
Space group Pmmm (No. 47)
Inequivalent atoms, fractional coordinates:
1 Sc 0.0000 0.0000 0.0000 x1  4 Tl 2.86, 8 Ta 3.02-3.18
2 Ta 0.0000 0.5000 0.5000 x1  4 Ta 2.86, 4 Tl 3.02, 4 Sc 3.18
3 Ta 0.5000 0.0000 0.5000 x1  4 Ta 2.86, 4 Sc 3.02, 4 Tl 3.18
4 Tl 0.5000 0.5000 0.0000 x1  4 Sc 2.86, 8 Ta 3.02-3.18



*c*
Computed, not measured: a crystal of ScTa2Tl relaxed with PBEsol at the meta-GGA SCAN level of DFT.

Computed properties:
D(E_F): 1.097 states/eV per atom

Cell: 4.2515 4.2515 8.5034 Å, 90.00 90.00 90.00°
Last column: nearest neighbours and their distance in Å.
Space group I-4m2 (No. 119)
Inequivalent atoms, fractional coordinates:
1 Sc 0.0000 0.0000 0.0000 x2  8 Ta 3.01, 4 Tl 3.01
2 Ta 0.0000 0.0000 0.5000 x2  4 Sc 3.01, 4 Tl 3.01, 4 Ta 3.01
3 Ta 0.0000 0.5000 0.7500 x2  4 Tl 3.01, 4 Ta 3.01, 4 Sc 3.01
4 Tl 0.0000 0.5000 0.2500 x2  8 Ta 3.01, 4 Sc 3.01



Winner for stability: *b*